Cr2GeRhI | PBE | relaxed

Cell: 4.8803 4.6432 4.8803 Å, 90.00 90.00 90.00°
Sites, in units of the cell vectors:
Cr: 0.0000 0.0000 0.5000
Cr: 0.5000 0.0000 0.0000
I: 0.5000 0.5000 0.5000
Rh: 0.0000 0.5000 0.0000
Ge: 0.0000 0.0000 0.0000

The spin magnetization is 8.11 μB per cell. Its uncorrected formation energy is 0.736 eV/atom. The calculation puts the electronic total energy at -29.09 eV/cell. The symmetry is P4/mmm (123). For the mass density, the calculation gives 6.10 g/cm3.


CrGeSb2I | PBE | relaxed

Cell: 5.0348 5.0348 5.7500 Å, 90.00 90.00 90.00°
Sites, in units of the cell vectors:
Cr: 0.0000 0.0000 0.0000
Sb: 0.5000 0.0000 0.0000
Sb: 0.0000 0.5000 0.0000
I: 0.0000 0.0000 0.5000
Ge: 0.5000 0.5000 0.5000

The spin magnetization is 2.38 μB per cell. Its uncorrected formation energy is 0.594 eV/atom. The calculation puts the electronic total energy at -21.07 eV/cell. The symmetry is P4/mmm (123). For the mass density, the calculation gives 5.64 g/cm3.


TaCrGeI2 | PBE | relaxed

Cell: 5.2868 4.7577 5.2868 Å, 90.00 90.00 90.00°
Sites, in units of the cell vectors:
I: 0.5000 0.0000 0.0000
I: 0.0000 0.0000 0.5000
Ge: 0.5000 0.5000 0.5000
Cr: 0.0000 0.0000 0.0000
Ta: 0.0000 0.5000 0.0000

The spin magnetization is 0.95 μB per cell. Its uncorrected formation energy is 1.180 eV/atom. The calculation puts the electronic total energy at -23.29 eV/cell. The symmetry is P4/mmm (123). For the mass density, the calculation gives 6.99 g/cm3.